# La2Se2N

La2Se2N after structural relaxation (PBE, Alexandria via LeMat-Bulk).

Cell lengths 6.0717, 6.6679, 7.6429 Å; angles 115.86, 113.40, 90.00 degrees
Atoms (fractional coordinates):
La: 0.3973 0.5981 0.7946
La: 0.6027 0.4019 0.2054
La: 0.1027 0.8036 0.2054
La: 0.8973 0.1964 0.7946
Se: 0.8545 0.6875 0.7091
Se: 0.1455 0.3125 0.2909
Se: 0.6455 0.9785 0.2909
Se: 0.3545 0.0215 0.7091
N: 0.7500 0.5000 0.0000
N: 0.2500 0.5000 0.0000

raw formation energy: -8.06 eV per formula unit
D(E_F): 7.655 states/eV/cell
density: 6.0 g cm⁻³



# Ca2TlCr

Ca2TlCr after structural relaxation (PBE, Alexandria via LeMat-Bulk).

Cell lengths 4.9843, 3.9159, 6.3339 Å; angles 72.05, 90.00, 90.00 degrees
Atoms (fractional coordinates):
Cr: 0.0000 0.6903 0.4940
Tl: 0.5000 0.5575 0.7602
Ca: 0.0000 0.9741 0.9274
Ca: 0.5000 0.2781 0.3184

energy relative to the lowest polymorph listed for this composition: 43 meV/atom
D(E_F): 3.576 states/eV/cell
density: 4.8 g cm⁻³
formation energy from the elements: 0.535 eV/f.u.